First-principles (PBE-GGA) data for Li2YErHg4 after structural relaxation, as listed in Alexandria.

POSCAR file:
```
Li2YErHg4
1.0
2.5057 1.4467 8.1891
-2.5057 1.4467 8.1891
0.0000 -2.8933 8.1891
Li Y Er Hg
2 1 1 4
direct
0.2502 0.2502 0.2502 Li
0.7498 0.7498 0.7498 Li
0.5000 0.5000 0.5000 Y
0.0000 0.0000 0.0000 Er
0.1240 0.1240 0.1240 Hg
0.3741 0.3741 0.3741 Hg
0.6259 0.6259 0.6259 Hg
0.8760 0.8760 0.8760 Hg
```

## Properties
DFT formation energy ... -439 meV per atom
E_tot ... -2.446 eV per atom
Space-group type ... No. 166
Size of the total moment ... 0.0 μB per formula unit